Entry 1:
This record from Alexandria describes crystalline YBeFe at its relaxed geometry. The functional is PBE.

Summary:
Excess energy over the best structure of this formula in the dataset in eV per atom: 1.243
SG: F-43m, No. 216

Cell lengths 6.353, 6.353, 6.353 Å; angles 90.00, 90.00, 90.00 degrees
Fractional positions:
Y: 0.000 0.000 0.000
Y: 0.000 0.500 0.500
Y: 0.500 0.000 0.500
Y: 0.500 0.500 0.000
Be: 0.250 0.250 0.750
Be: 0.250 0.750 0.250
Be: 0.750 0.250 0.250
Be: 0.750 0.750 0.750
Fe: 0.250 0.250 0.250
Fe: 0.250 0.750 0.750
Fe: 0.750 0.250 0.750
Fe: 0.750 0.750 0.250



Entry 2:
This record from Alexandria describes crystalline ZnFe4Co6 at its relaxed geometry. The functional is PBE.

Summary:
SG: P4/mnc, No. 128
E in eV/cell: -150.8

Cell lengths 5.924, 5.924, 7.551 Å; angles 90.00, 90.00, 90.00 degrees
Fractional positions:
Zn: 0.000 0.000 0.000
Zn: 0.500 0.500 0.500
Fe: 0.160 0.340 0.250
Fe: 0.160 0.340 0.750
Fe: 0.340 0.840 0.250
Fe: 0.340 0.840 0.750
Fe: 0.660 0.160 0.250
Fe: 0.660 0.160 0.750
Fe: 0.840 0.660 0.250
Fe: 0.840 0.660 0.750
Co: 0.000 0.000 0.344
Co: 0.000 0.000 0.656
Co: 0.115 0.663 0.500
Co: 0.163 0.615 0.000
Co: 0.337 0.115 0.500
Co: 0.385 0.163 0.000
Co: 0.500 0.500 0.156
Co: 0.500 0.500 0.844
Co: 0.615 0.837 0.000
Co: 0.663 0.885 0.500
Co: 0.837 0.385 0.000
Co: 0.885 0.337 0.500



Number 1: D(E_F) 7.40 states/eV/f.u.. Number 2: D(E_F) 10.57 states/eV/f.u..